# 1
Entry from Alexandria via LeMat-Bulk: a relaxed CaYW2 crystal (GGA-PBE).

abc: 10.6885 10.6885 10.6885
angles: 16.34 16.34 16.34
With the nearest neighbours (Å) after each atom.
Element x y z (fractional)
W (0.5008, 0.5008, 0.5008)  6 W 3.04, 3 Y 3.15, 3 Ca 3.19
W (0.9992, 0.9992, 0.9992)  6 W 3.04, 3 Y 3.15, 3 Ca 3.19
Y (0.2500, 0.2500, 0.2500)  6 Y 3.04, 6 W 3.15
Ca (0.7500, 0.7500, 0.7500)  6 Ca 3.04, 6 W 3.19

Output
E	-7.597	eV/atom
DFT formation energy	0.996	eV per atom

=====

# 2
Entry from Alexandria via LeMat-Bulk: a relaxed CaYW2 crystal (GGA-PBE).

abc: 4.9093 4.9093 4.9093
angles: 60.00 60.00 60.00
With the nearest neighbours (Å) after each atom.
Element x y z (fractional)
W (0.0000, 0.0000, 0.0000)  4 W 3.01, 4 Y 3.01
W (0.2500, 0.2500, 0.2500)  4 Ca 3.01, 4 W 3.01
Ca (0.5000, 0.5000, 0.5000)  4 W 3.01, 4 Y 3.01
Y (0.7500, 0.7500, 0.7500)  4 Ca 3.01, 4 W 3.01

Output
E	-7.816	eV/atom
DFT formation energy	0.777	eV per atom

=====

# 3
Entry from Alexandria via LeMat-Bulk: a relaxed CaY2W crystal (GGA-PBE).

abc: 5.4447 5.4447 5.4447
angles: 125.38 125.38 80.90
With the nearest neighbours (Å) after each atom.
Element x y z (fractional)
W (0.2500, 0.7500, 0.5000)  8 Y 3.25, 4 Ca 3.53
Y (0.5000, 0.5000, 0.0000)  4 W 3.25, 4 Ca 3.25, 4 Y 3.53
Y (0.0000, 0.0000, 0.0000)  4 W 3.25, 4 Ca 3.25, 4 Y 3.53
Ca (0.7500, 0.2500, 0.5000)  8 Y 3.25, 4 W 3.53

Output
E	-6.383	eV/atom
DFT formation energy	0.587	eV per atom

=====

# 4
Entry from Alexandria via LeMat-Bulk: a relaxed CaY2W crystal (GGA-PBE).

abc: 3.8272 3.8272 7.8634
angles: 90.00 90.00 90.00
With the nearest neighbours (Å) after each atom.
Element x y z (fractional)
Y (0.0000, 0.0000, 0.9480)  4 W 2.93, 1 Ca 3.15
Y (0.5000, 0.5000, 0.2004)  1 W 3.11, 4 Y 3.36
W (0.5000, 0.5000, 0.8046)  5 Y 2.93-3.11
Ca (0.0000, 0.0000, 0.5470)  1 Y 3.15, 4 W 3.38

Output
E	-6.376	eV/atom
DFT formation energy	0.595	eV per atom

=====

# 5
Entry from Alexandria via LeMat-Bulk: a relaxed CaYW2 crystal (GGA-PBE).

abc: 8.1222 8.1222 6.3746
angles: 50.43 50.43 90.00
With the nearest neighbours (Å) after each atom.
Element x y z (fractional)
W (0.6229, 0.1250, 0.2500)  2 W 2.77, 2 Ca 2.94, 2 Y 2.97
W (0.3750, 0.3771, 0.7500)  2 W 2.77, 2 Ca 2.94, 2 Y 2.97
W (0.1271, 0.6250, 0.2500)  2 W 2.77, 2 Ca 2.94, 2 Y 2.97
W (0.8750, 0.8729, 0.7500)  2 W 2.77, 2 Ca 2.94, 2 Y 2.97
Y (0.0000, 0.0000, 0.0000)  2 Ca 2.77, 4 W 2.97
Y (0.7500, 0.2500, 0.5000)  2 Ca 2.77, 4 W 2.97
Ca (0.5000, 0.5000, 0.0000)  2 Y 2.77, 4 W 2.94
Ca (0.2500, 0.7500, 0.5000)  2 Y 2.77, 4 W 2.94

Output
E	-7.080	eV/atom
DFT formation energy	1.513	eV per atom

=====

# 6
Entry from Alexandria via LeMat-Bulk: a relaxed CaYW2 crystal (GGA-PBE).

abc: 4.2540 3.0929 7.5192
angles: 78.81 90.00 90.00
With the nearest neighbours (Å) after each atom.
Element x y z (fractional)
Y (0.0000, 0.4978, 0.4361)  3 W 2.95-2.98, 2 Y 3.09
W (0.0000, 0.0087, 0.0613)  2 W 2.53
W (0.5000, 0.2359, 0.2013)  2 W 2.53
Ca (0.5000, 0.7576, 0.8013)  5 W 3.09-3.46, 2 Ca 3.09

Output
E	-7.993	eV/atom
DFT formation energy	0.600	eV per atom

=====

# 7
Entry from Alexandria via LeMat-Bulk: a relaxed CaY2W crystal (GGA-PBE).

abc: 11.4123 11.4123 11.4123
angles: 16.80 16.80 16.80
With the nearest neighbours (Å) after each atom.
Element x y z (fractional)
Y (0.0111, 0.0111, 0.0111)  3 W 3.04, 6 Y 3.33
Y (0.2531, 0.2531, 0.2531)  9 Y 3.33-3.64
W (0.7475, 0.7475, 0.7475)  3 Y 3.04, 3 Ca 3.16, 6 W 3.33
Ca (0.4883, 0.4883, 0.4883)  3 W 3.16, 6 Ca 3.33

Output
E	-6.284	eV/atom
DFT formation energy	0.687	eV per atom

=====

# 8
Entry from Alexandria via LeMat-Bulk: a relaxed Ca2Y2W crystal (GGA-PBE).

abc: 7.3627 7.3627 6.0701
angles: 90.00 90.00 90.00
With the nearest neighbours (Å) after each atom.
Element x y z (fractional)
Y (0.8302, 0.6698, 0.0000)  2 W 2.73
Y (0.1698, 0.3302, 0.0000)  2 W 2.73
Y (0.3302, 0.8302, 0.0000)  2 W 2.73
Y (0.6698, 0.1698, 0.0000)  2 W 2.73
W (0.0000, 0.0000, 0.0000)  4 Y 2.73
W (0.5000, 0.5000, 0.0000)  4 Y 2.73
Ca (0.1779, 0.6779, 0.5000)  2 Y 3.42, 5 Ca 3.70-3.83
Ca (0.3221, 0.1779, 0.5000)  2 Y 3.42, 5 Ca 3.70-3.83
Ca (0.6779, 0.8221, 0.5000)  2 Y 3.42, 5 Ca 3.70-3.83
Ca (0.8221, 0.3221, 0.5000)  2 Y 3.42, 5 Ca 3.70-3.83

Output
E	-5.280	eV/atom
DFT formation energy	0.697	eV per atom

=====

# 9
Entry from Alexandria via LeMat-Bulk: a relaxed CaYW2 crystal (GGA-PBE).

abc: 2.8579 2.8579 10.2497
angles: 90.00 90.00 90.00
With the nearest neighbours (Å) after each atom.
Element x y z (fractional)
Y (0.5000, 0.5000, 0.2500)  4 Y 2.86
Ca (0.5000, 0.5000, 0.7500)  4 Ca 2.86
W (0.0000, 0.0000, 0.4942)  4 W 2.86
W (0.0000, 0.0000, 0.0058)  4 W 2.86

Output
E	-7.740	eV/atom
DFT formation energy	0.853	eV per atom

=====

# 10
Entry from Alexandria via LeMat-Bulk: a relaxed CaYW2 crystal (GGA-PBE).

abc: 6.0020 6.0020 6.0020
angles: 146.05 128.18 63.41
With the nearest neighbours (Å) after each atom.
Element x y z (fractional)
W (0.9604, 0.9604, 0.0000)  2 W 2.46
W (0.7910, 0.2910, 0.5000)  2 W 2.46
Y (0.5156, 0.5156, 0.0000)  8 W 3.20-3.48, 4 Ca 3.38-3.44, 2 Y 3.50
Ca (0.2329, 0.7329, 0.5000)  8 W 3.21-3.50, 4 Y 3.38-3.44, 2 Ca 3.50

Output
E	-8.030	eV/atom
DFT formation energy	0.563	eV per atom

=====

# 11
Entry from Alexandria via LeMat-Bulk: a relaxed CaYW2 crystal (GGA-PBE).

abc: 4.5060 4.5060 7.5157
angles: 85.60 85.60 42.10
With the nearest neighbours (Å) after each atom.
Element x y z (fractional)
W (0.0140, 0.0140, 0.9311)  3 W 2.58-2.60
W (0.7381, 0.7381, 0.8057)  3 W 2.58-2.60, 1 Y 2.88
Ca (0.2628, 0.2628, 0.1928)  3 W 2.99-3.20, 2 Ca 3.24
Y (0.4851, 0.4851, 0.5704)  5 W 2.88-3.18

Output
E	-7.961	eV/atom
DFT formation energy	0.632	eV per atom

=====

# 12
Entry from Alexandria via LeMat-Bulk: a relaxed CaYW2 crystal (GGA-PBE).

abc: 5.8247 5.8247 5.8247
angles: 139.32 139.32 58.89
With the nearest neighbours (Å) after each atom.
Element x y z (fractional)
W (0.0000, 0.0000, 0.0000)  4 W 2.86
W (0.5000, 0.5000, 0.0000)  4 W 2.86
Ca (0.7500, 0.2500, 0.5000)  4 Y 2.86
Y (0.2500, 0.7500, 0.5000)  4 Ca 2.86

Output
E	-7.734	eV/atom
DFT formation energy	0.859	eV per atom

=====

In meV/atom, the energy above the lowest structure with this stoichiometry values for the records above are, in order, 603 383 203 211 1120 206 303 0 459 170 239 466.